A:
DFT (PBEsol) results for an optimized crystal structure of LiSiBiO4. Values from VASP.

Properties
* total moment: 0.00 μB/f.u.
* N(E_F): 0.000 states/eV/cell

```
&SYSTEM
  ibrav = 0, nat = 42, ntyp = 4
/
ATOMIC_SPECIES
Li 6.94 Li.upf
Si 28.09 Si.upf
Bi 208.98 Bi.upf
O 16.00 O.upf
ATOMIC_POSITIONS crystal
Li 0.0386 0.1875 0.4376
Li 0.5624 0.9614 0.8125
Li 0.8125 0.5624 0.9614
Li 0.1875 0.4376 0.0386
Li 0.4376 0.0386 0.1875
Li 0.9614 0.8125 0.5624
Si 0.1441 0.7425 0.9130
Si 0.2575 0.0870 0.8559
Si 0.0870 0.8559 0.2575
Si 0.9130 0.1441 0.7425
Si 0.7425 0.9130 0.1441
Si 0.8559 0.2575 0.0870
Bi 0.4575 0.5486 0.8132
Bi 0.1868 0.5425 0.4514
Bi 0.4514 0.1868 0.5425
Bi 0.5486 0.8132 0.4575
Bi 0.8132 0.4575 0.5486
Bi 0.5425 0.4514 0.1868
O 0.2643 0.9391 0.9557
O 0.0609 0.0443 0.7357
O 0.2538 0.6117 0.9275
O 0.3883 0.0725 0.7462
O 0.6947 0.7321 0.0070
O 0.2826 0.3325 0.5589
O 0.0725 0.7462 0.3883
O 0.4411 0.7174 0.6675
O 0.9930 0.3053 0.2679
O 0.2679 0.9930 0.3053
O 0.6675 0.4411 0.7174
O 0.0443 0.7357 0.0609
O 0.9557 0.2643 0.9391
O 0.3325 0.5589 0.2826
O 0.7321 0.0070 0.6947
O 0.0070 0.6947 0.7321
O 0.5589 0.2826 0.3325
O 0.9275 0.2538 0.6117
O 0.7174 0.6675 0.4411
O 0.3053 0.2679 0.9930
O 0.6117 0.9275 0.2538
O 0.7462 0.3883 0.0725
O 0.9391 0.9557 0.2643
O 0.7357 0.0609 0.0443
CELL_PARAMETERS angstrom
-8.0130 -1.5037 -2.5183
3.0659 -7.8371 1.4114
-1.0211 3.1045 7.8823
```


B:
DFT (PBEsol) results for an optimized crystal structure of LiSiBiO4. Values from VASP.

Properties
* total moment: 0.00 μB/f.u.
* N(E_F): 0.000 states/eV/cell

```
&SYSTEM
  ibrav = 0, nat = 56, ntyp = 4
/
ATOMIC_SPECIES
Li 6.94 Li.upf
Si 28.09 Si.upf
Bi 208.98 Bi.upf
O 16.00 O.upf
ATOMIC_POSITIONS crystal
Li 0.0176 0.9919 0.4971
Li 0.4640 0.7798 0.2481
Li 0.4640 0.7202 0.7481
Li 0.0176 0.5081 0.9971
Li 0.9824 0.4919 0.4971
Li 0.5360 0.2798 0.2481
Li 0.5360 0.2202 0.7481
Li 0.9824 0.0081 0.9971
Si 0.5131 0.9786 0.6182
Si 0.9381 0.7580 0.8799
Si 0.9381 0.7420 0.3799
Si 0.5131 0.5214 0.1182
Si 0.4869 0.4786 0.6182
Si 0.0619 0.2580 0.8799
Si 0.0619 0.2420 0.3799
Si 0.4869 0.0214 0.1182
Bi 0.9869 0.0060 0.2436
Bi 0.4113 0.7880 0.9964
Bi 0.4113 0.7120 0.4964
Bi 0.9869 0.4940 0.7436
Bi 0.0131 0.5060 0.2436
Bi 0.5887 0.2880 0.9964
Bi 0.5887 0.2120 0.4964
Bi 0.0131 0.9940 0.7436
O 0.2047 0.9521 0.1033
O 0.3595 0.0260 0.5263
O 0.6022 0.9529 0.2139
O 0.0890 0.9020 0.8875
O 0.5037 0.8214 0.6330
O 0.9970 0.8113 0.4780
O 0.0830 0.6840 0.7912
O 0.6379 0.7728 0.8579
O 0.6379 0.7272 0.3579
O 0.0830 0.8160 0.2912
O 0.9970 0.6887 0.9780
O 0.5037 0.6786 0.1330
O 0.0890 0.5980 0.3875
O 0.6022 0.5471 0.7139
O 0.3595 0.4740 0.0263
O 0.2047 0.5479 0.6033
O 0.7953 0.4521 0.1033
O 0.6405 0.5260 0.5263
O 0.3978 0.4529 0.2139
O 0.9110 0.4020 0.8875
O 0.4963 0.3214 0.6330
O 0.0030 0.3113 0.4780
O 0.9170 0.1840 0.7912
O 0.3621 0.2728 0.8579
O 0.3621 0.2272 0.3579
O 0.9170 0.3160 0.2912
O 0.0030 0.1887 0.9780
O 0.4963 0.1786 0.1330
O 0.9110 0.0980 0.3875
O 0.3978 0.0471 0.7139
O 0.6405 0.9740 0.0263
O 0.7953 0.0479 0.6033
CELL_PARAMETERS angstrom
5.2692 0.0000 0.0000
0.0000 10.2353 0.0000
0.0000 0.0000 14.4896
```


C:
DFT (PBEsol) results for an optimized crystal structure of LiSiBiO4. Values from VASP.

Properties
* total moment: 0.00 μB/f.u.
* N(E_F): 0.000 states/eV/cell

```
&SYSTEM
  ibrav = 0, nat = 14, ntyp = 4
/
ATOMIC_SPECIES
Si 28.09 Si.upf
Bi 208.98 Bi.upf
O 16.00 O.upf
Li 6.94 Li.upf
ATOMIC_POSITIONS crystal
Si 0.6667 0.3333 0.5461
Si 0.3333 0.6667 0.0461
Bi 0.0000 0.0000 0.8202
Bi 0.0000 0.0000 0.3202
O 0.9565 0.6548 0.4812
O 0.6667 0.3333 0.7328
O 0.3452 0.3017 0.4812
O 0.6983 0.0435 0.4812
O 0.6548 0.9565 0.9812
O 0.3333 0.6667 0.2328
O 0.3017 0.3452 0.9812
O 0.0435 0.6983 0.9812
Li 0.6667 0.3333 0.9458
Li 0.3333 0.6667 0.4458
CELL_PARAMETERS angstrom
5.0496 0.0000 0.0000
-2.5248 4.3731 0.0000
0.0000 0.0000 8.6140
```


D:
DFT (PBEsol) results for an optimized crystal structure of LiSiBiO4. Values from VASP.

Properties
* total moment: 0.00 μB/f.u.
* N(E_F): 0.000 states/eV/cell

```
&SYSTEM
  ibrav = 0, nat = 28, ntyp = 4
/
ATOMIC_SPECIES
Li 6.94 Li.upf
Si 28.09 Si.upf
Bi 208.98 Bi.upf
O 16.00 O.upf
ATOMIC_POSITIONS crystal
Li 0.0000 0.2500 0.2359
Li 0.0000 0.7500 0.7641
Li 0.5000 0.7500 0.2641
Li 0.5000 0.2500 0.7359
Si 0.0000 0.7500 0.3856
Si 0.0000 0.2500 0.6144
Si 0.5000 0.7500 0.8856
Si 0.5000 0.2500 0.1144
Bi 0.0000 0.7500 0.1030
Bi 0.0000 0.2500 0.8970
Bi 0.5000 0.7500 0.6030
Bi 0.5000 0.2500 0.3970
O 0.8361 0.5451 0.3073
O 0.8361 0.0451 0.6927
O 0.7452 0.3972 0.0445
O 0.7452 0.8972 0.9555
O 0.7548 0.8972 0.4555
O 0.7548 0.3972 0.5445
O 0.6639 0.0451 0.1927
O 0.6639 0.5451 0.8073
O 0.3361 0.4549 0.1927
O 0.3361 0.9549 0.8073
O 0.2452 0.6028 0.4555
O 0.2452 0.1028 0.5445
O 0.2548 0.1028 0.0445
O 0.2548 0.6028 0.9555
O 0.1639 0.9549 0.3073
O 0.1639 0.4549 0.6927
CELL_PARAMETERS angstrom
-1.9078 -1.4188 -4.2222
0.5951 -5.0678 1.4341
-11.1500 0.1063 5.0025
```


Question: which arrangement is favored energetically? Ranking from most to least stable: D, C, A, B.


A:
DFT (PBEsol) results for an optimized crystal structure of LiSiBiO4. Values from VASP.

Properties
* total moment: 0.00 μB/f.u.
* N(E_F): 0.000 states/eV/cell

```
&SYSTEM
  ibrav = 0, nat = 28, ntyp = 4
/
ATOMIC_SPECIES
Li 6.94 Li.upf
Si 28.09 Si.upf
Bi 208.98 Bi.upf
O 16.00 O.upf
ATOMIC_POSITIONS crystal
Li 0.7529 0.5163 0.1580
Li 0.2529 0.0163 0.3420
Li 0.7529 0.9837 0.6580
Li 0.2529 0.4837 0.8420
Si 0.2479 0.2858 0.1058
Si 0.7479 0.7858 0.3942
Si 0.2479 0.2142 0.6058
Si 0.7479 0.7142 0.8942
Bi 0.7632 0.0161 0.1300
Bi 0.2632 0.5161 0.3700
Bi 0.7632 0.4839 0.6300
Bi 0.2632 0.9839 0.8700
O 0.8080 0.7134 0.0454
O 0.9402 0.2893 0.1444
O 0.3841 0.4564 0.1808
O 0.3578 0.0908 0.1656
O 0.8578 0.5908 0.3344
O 0.8841 0.9564 0.3192
O 0.4402 0.7893 0.3556
O 0.3080 0.2134 0.4546
O 0.8080 0.7866 0.5454
O 0.9402 0.2107 0.6444
O 0.3841 0.0436 0.6808
O 0.3578 0.4092 0.6656
O 0.8578 0.9092 0.8344
O 0.8841 0.5436 0.8192
O 0.4402 0.7107 0.8556
O 0.3080 0.2866 0.9546
CELL_PARAMETERS angstrom
5.1761 0.0000 0.0000
0.0000 7.4375 0.0000
0.0000 0.0000 10.5009
```


B:
DFT (PBEsol) results for an optimized crystal structure of LiSiBiO4. Values from VASP.

Properties
* total moment: 0.00 μB/f.u.
* N(E_F): 0.000 states/eV/cell

```
&SYSTEM
  ibrav = 0, nat = 28, ntyp = 4
/
ATOMIC_SPECIES
Li 6.94 Li.upf
Si 28.09 Si.upf
Bi 208.98 Bi.upf
O 16.00 O.upf
ATOMIC_POSITIONS crystal
Li 0.6447 0.1358 0.0537
Li 0.8553 0.6358 0.4463
Li 0.1447 0.3642 0.5537
Li 0.3553 0.8642 0.9463
Si 0.9388 0.8034 0.1366
Si 0.4388 0.6966 0.6366
Si 0.5612 0.3034 0.3634
Si 0.0612 0.1966 0.8634
Bi 0.3248 0.8365 0.3591
Bi 0.8248 0.6635 0.8591
Bi 0.1752 0.3365 0.1409
Bi 0.6752 0.1635 0.6409
O 0.3789 0.1993 0.4674
O 0.8789 0.3007 0.9674
O 0.9699 0.6585 0.2707
O 0.0222 0.0342 0.1901
O 0.6885 0.8123 0.0435
O 0.4699 0.8415 0.7707
O 0.5222 0.4658 0.6901
O 0.8115 0.3123 0.4565
O 0.1885 0.6877 0.5435
O 0.4778 0.5342 0.3099
O 0.5301 0.1585 0.2293
O 0.3115 0.1877 0.9565
O 0.9778 0.9658 0.8099
O 0.0301 0.3415 0.7293
O 0.1211 0.6993 0.0326
O 0.6211 0.8007 0.5326
CELL_PARAMETERS angstrom
-1.6533 -5.4781 -0.4129
5.9675 -1.8994 1.3059
-1.9554 0.6467 9.8757
```


Question: which arrangement is favored energetically? Ranking from most to least stable: B, A.